VASP calculation (PBE) on a geometry-optimized Dy2ZrTl2S6 structure.

The space group is C2/m (No. 12) and the conventional cell measures 6.798, 11.723 and 7.924 Å, with angles of 90.00, 106.88 and 90.00 degrees. Symmetry generates all atoms from Dy at (0.000, 0.167, 0.000), Zr at (0.000, 0.500, 0.000), Tl at (0.000, 0.331, 0.500), S at (0.224, 0.341, 0.193) and S at (0.250, 0.000, 0.195).

Its raw formation energy is -16.6 eV/f.u. For the uncorrected energy, the calculation gives -5.803 eV per atom.